# 1
This record from Alexandria describes a crystal of Fe2OF3 relaxed with PBEsol. The functional is meta-GGA SCAN.

Values from the calculation:
Calculated density (Mg/m³): 4.68
Offset from the most stable computed form (meV/atom): 86
Calculated total energy (eV per atom): -10.940
Space-group type: Amm2
Energy relative to the elements, uncorrected (eV/atom): -2.09

Unit cell a=11.922 b=4.693 c=4.693 alpha=93.13 beta=90.00 gamma=90.00
Positions (direct):
Fe1 0.000 0.000 0.000
Fe2 0.119 0.461 0.461
Fe3 0.249 0.012 0.012
Fe4 0.381 0.487 0.487
Fe5 0.500 0.953 0.953
Fe6 0.619 0.487 0.487
Fe7 0.751 0.012 0.012
Fe8 0.881 0.461 0.461
O1 0.000 0.271 0.271
O2 0.253 0.300 0.300
O3 0.500 0.681 0.681
O4 0.747 0.300 0.300
F1 0.000 0.694 0.694
F2 0.115 0.185 0.795
F3 0.115 0.795 0.185
F4 0.246 0.697 0.697
F5 0.384 0.164 0.777
F6 0.384 0.777 0.164
F7 0.500 0.256 0.256
F8 0.616 0.164 0.777
F9 0.616 0.777 0.164
F10 0.754 0.697 0.697
F11 0.885 0.185 0.795
F12 0.885 0.795 0.185

---

# 2
This record from Alexandria describes a crystal of Fe4O5F3 relaxed with PBEsol. The functional is meta-GGA SCAN.

Values from the calculation:
Calculated density (Mg/m³): 5.10
Offset from the most stable computed form (meV/atom): 72
Calculated total energy (eV per atom): -11.297
Space-group type: Cm
Energy relative to the elements, uncorrected (eV/atom): -1.77

Unit cell a=5.388 b=5.388 c=4.568 alpha=96.95 beta=96.95 gamma=63.31
Positions (direct):
Fe1 0.000 0.000 0.000
Fe2 0.509 0.978 0.508
Fe3 0.517 0.517 0.958
Fe4 0.978 0.509 0.508
O1 0.153 0.654 0.797
O2 0.354 0.841 0.195
O3 0.654 0.153 0.797
O4 0.658 0.658 0.694
O5 0.841 0.354 0.195
F1 0.139 0.139 0.724
F2 0.331 0.331 0.327
F3 0.862 0.862 0.270

---

# 3
This record from Alexandria describes a crystal of FeOF3 relaxed with PBEsol. The functional is meta-GGA SCAN.

Values from the calculation:
Calculated density (Mg/m³): 3.64
Calculated total energy (eV per atom): -8.340
Space-group type: Pm-3m
Energy relative to the elements, uncorrected (eV/atom): -1.34

Unit cell a=3.887 b=3.887 c=3.887 alpha=90.00 beta=90.00 gamma=90.00
Positions (direct):
Fe1 0.000 0.000 0.000
O1 0.500 0.500 0.500
F1 0.000 0.000 0.500
F2 0.000 0.500 0.000
F3 0.500 0.000 0.000

---

# 4
This record from Alexandria describes a crystal of Fe2OF3 relaxed with PBEsol. The functional is meta-GGA SCAN.

Values from the calculation:
Calculated density (Mg/m³): 4.45
Offset from the most stable computed form (meV/atom): 0
Calculated total energy (eV per atom): -11.026
Space-group type: Imma
Energy relative to the elements, uncorrected (eV/atom): -2.17

Unit cell a=5.657 b=5.657 c=5.657 alpha=115.70 beta=104.20 gamma=108.73
Positions (direct):
Fe1 0.000 0.000 0.500
Fe2 0.000 0.500 0.000
Fe3 0.466 0.216 0.250
Fe4 0.534 0.784 0.750
O1 0.182 0.932 0.250
O2 0.818 0.068 0.750
F1 0.221 0.471 0.750
F2 0.301 0.000 0.801
F3 0.301 0.500 0.301
F4 0.699 0.000 0.199
F5 0.699 0.500 0.699
F6 0.779 0.529 0.250